Crystalline CaAcNd at its relaxed geometry. Source: Alexandria via LeMat-Bulk, functional PBE.

Properties
Formation energy in meV/atom: 259.8
Size of the total moment in μB per atom: 0.00
Space-group type: P4/nmm (129)

a = 5.2312 Å, b = 5.2312 Å, c = 9.2300 Å
α = 90.00°, β = 90.00°, γ = 90.00°
Closest atoms and distances in Å follow each position.
Sites, in units of the cell vectors:
Ca1 0.2500 0.2500 0.1737  5 Nd 3.60-3.72, 4 Ac 3.99
Ca2 0.7500 0.7500 0.8263  5 Nd 3.60-3.72, 4 Ac 3.99
Ac1 0.2500 0.7500 0.5000  4 Ac 3.70, 4 Nd 3.70, 4 Ca 3.99
Ac2 0.7500 0.2500 0.5000  4 Ac 3.70, 4 Nd 3.70, 4 Ca 3.99
Nd1 0.2500 0.2500 0.7836  5 Ca 3.60-3.72, 4 Ac 3.70
Nd2 0.7500 0.7500 0.2164  5 Ca 3.60-3.72, 4 Ac 3.70